## MnAlAg2O (GGA+U)

Data for crystalline MnAlAg2O at its relaxed geometry.

Unit cell a=5.158 b=3.359 c=5.158 alpha=90.00 beta=90.00 gamma=90.00
Each line ends with the local moment (μB).
Element x y z (fractional)
Ag 0.000 0.000 0.500  0.01
Ag 0.500 0.000 0.000  0.01
O 0.000 0.000 0.000  0.00
Al 0.000 0.500 0.000  -0.01
Mn 0.500 0.500 0.500  4.60

## Properties
- space group = P4/mmm
- V (Å³/atom) = 17.87
- final energy (eV/atom) = -4.605